1.
# La2GaTeI, optimized geometry, DFT PBE
# ΔE to the lowest computed polymorph   26.2 kJ per mole of atoms
# Uncorrected formation energy   0.86 eV per formula unit
# Crystal system   tetragonal
data_La2GaTeI
_chemical_formula_sum 'La2 Ga1 Te1 I1'
_symmetry_space_group_name_H-M 'P 4/m m m'
_symmetry_Int_Tables_number 123
_symmetry_space_group_name_Hall '-P 4 2'
_cell_length_a 5.966
_cell_length_b 5.966
_cell_length_c 5.977
_cell_angle_alpha 90.00
_cell_angle_beta 90.00
_cell_angle_gamma 90.00
loop_
_atom_site_label
_atom_site_type_symbol
_atom_site_fract_x
_atom_site_fract_y
_atom_site_fract_z
_atom_site_occupancy
La1 La 0.000 0.500 0.000 1
Ga1 Ga 0.000 0.000 0.500 1
Te1 Te 0.500 0.500 0.500 1
I1 I 0.500 0.500 0.000 1


2.
# BaCu2Au, optimized geometry, DFT PBE
# ΔE to the lowest computed polymorph   7.6 kJ per mole of atoms
# Energy of formation   -0.17 eV per atom
# Crystal system   monoclinic
data_BaCu2Au
_chemical_formula_sum 'Ba1 Cu2 Au1'
_symmetry_space_group_name_H-M 'P 1 2/m 1'
_symmetry_Int_Tables_number 10
_symmetry_space_group_name_Hall '-P 2y'
_cell_length_a 4.621
_cell_length_b 4.581
_cell_length_c 4.937
_cell_angle_alpha 90.00
_cell_angle_beta 90.09
_cell_angle_gamma 90.00
loop_
_atom_site_label
_atom_site_type_symbol
_atom_site_fract_x
_atom_site_fract_y
_atom_site_fract_z
_atom_site_occupancy
Ba1 Ba 0.000 0.000 0.000 1
Cu1 Cu 0.500 0.500 0.246 1
Au1 Au 0.500 0.000 0.500 1


3.
# Y2MnCl, optimized geometry, DFT PBE
# ΔE to the lowest computed polymorph   38.7 kJ per mole of atoms
# Uncorrected formation energy   -0.30 eV per formula unit
# Crystal system   tetragonal
data_Y2MnCl
_chemical_formula_sum 'Y4 Mn2 Cl2'
_symmetry_space_group_name_H-M 'I 4/m m m'
_symmetry_Int_Tables_number 139
_symmetry_space_group_name_Hall '-I 4 2'
_cell_length_a 4.864
_cell_length_b 4.864
_cell_length_c 8.032
_cell_angle_alpha 90.00
_cell_angle_beta 90.00
_cell_angle_gamma 90.00
loop_
_atom_site_label
_atom_site_type_symbol
_atom_site_fract_x
_atom_site_fract_y
_atom_site_fract_z
_atom_site_occupancy
Y1 Y 0.000 0.500 0.250 1
Mn1 Mn 0.000 0.000 0.000 1
Cl1 Cl 0.000 0.000 0.500 1